A relaxed structure of ScTl3Sb3S8. Source: the Alexandria database, functional GGA-PBE.

Results
As for the total energy: -4.48 eV per atom. The size of the total moment is 0.0 μB/f.u. The density is 5324 kg/m3. The space group is C2/m.

Lattice parameters (Å, degrees): 7.834 7.833 8.765 116.49 90.00 120.01
Sites, in units of the cell vectors:
1 Sb 0.000 0.500 0.500
2 Sb 0.500 0.500 0.500
3 Sb 0.500 0.000 0.500
4 S 0.743 0.969 0.694
5 S 0.226 0.969 0.694
6 S 0.774 0.031 0.306
7 S 0.736 0.473 0.709
8 S 0.226 0.451 0.694
9 S 0.257 0.031 0.306
10 S 0.774 0.549 0.306
11 S 0.264 0.527 0.291
12 Tl 0.000 0.000 0.000
13 Tl 0.000 0.500 0.000
14 Tl 0.500 0.500 0.000
15 Sc 0.000 0.000 0.500

A relaxed structure of ScTl3Sb2S6. Source: the Alexandria database, functional GGA-PBE.

Results
As for the total energy: -4.54 eV per atom. The size of the total moment is 0.0 μB/f.u. The density is 5949 kg/m3. The space group is C2/m.

Lattice parameters (Å, degrees): 6.893 6.893 7.766 98.50 98.50 119.97
Sites, in units of the cell vectors:
1 S 0.747 0.747 0.198
2 S 0.384 0.065 0.196
3 S 0.616 0.935 0.804
4 S 0.935 0.616 0.804
5 S 0.253 0.253 0.802
6 S 0.065 0.384 0.196
7 Tl 0.832 0.168 0.500
8 Tl 0.168 0.832 0.500
9 Tl 0.500 0.500 0.500
10 Sb 0.667 0.333 0.000
11 Sb 0.333 0.667 0.000
12 Sc 0.000 0.000 0.000

A relaxed structure of TmScSbS. Source: the Alexandria database, functional GGA-PBE.

Results
As for the total energy: -6.13 eV per atom. The size of the total moment is 0.0 μB/f.u. The density is 6695 kg/m3. The space group is R3m.

Lattice parameters (Å, degrees): 3.897 3.898 7.288 90.00 105.51 120.01
Sites, in units of the cell vectors:
1 Sb 0.479 0.137 0.631
2 Tm 0.948 0.372 0.335
3 Sc 0.326 0.561 0.902
4 S 0.125 0.960 0.101

A relaxed structure of ScVSb2S. Source: the Alexandria database, functional GGA-PBE.

Results
As for the total energy: -5.64 eV per atom. The size of the total moment is 0.0 μB/f.u. The density is 5085 kg/m3. The space group is P4/mmm.

Lattice parameters (Å, degrees): 5.334 4.265 5.334 90.00 90.00 90.00
Sites, in units of the cell vectors:
1 Sb 0.500 0.000 0.000
2 Sb 0.000 0.000 0.500
3 Sc 0.500 0.500 0.500
4 S 0.000 0.500 0.000
5 V 0.000 0.000 0.000